Record 1
This record from Alexandria describes Mg3ZrPa3N8 after structural relaxation. The functional is PBE-GGA.

Lattice parameters (Å, degrees): 6.8817 6.8822 6.5223 121.84 90.00 120.00
Each line ends with the local moment (μB).
Atoms (fractional coordinates):
N 0.7656 0.5312 0.2810  -0.01
N 0.2487 0.4974 0.2460  -0.01
N 0.2344 0.9845 0.7189  -0.01
N 0.2344 0.4688 0.7190  -0.01
N 0.7513 0.5026 0.7540  -0.01
N 0.7656 0.0155 0.2811  -0.01
N 0.2499 0.0155 0.2811  -0.01
N 0.7501 0.9845 0.7189  -0.01
Pa 0.0000 0.5000 0.5000  0.27
Pa 0.5000 0.0000 0.5000  0.27
Pa 0.5000 0.5000 0.5000  0.27
Mg 0.5000 0.5000 0.0000  0.00
Mg 0.0000 0.5000 0.0000  0.00
Mg 0.0000 0.0000 0.0000  0.00
Zr 0.0000 0.0000 0.5000  0.04

Summary:
The value obtained for the density of states at the Fermi level is 5.7 states/eV/f.u. The calculation puts the magnetization at 0.9 μB/cell. Its formation energy (no corrections) is -1.218 eV/atom. The calculation puts the energy at -8.446 eV per atom. The calculated density comes out at 7.6 g/cm³.

Record 2
This record from Alexandria describes Ir2AuSe after structural relaxation. The functional is PBE-GGA.

Lattice parameters (Å, degrees): 4.5684 2.9349 5.0500 90.07 90.00 90.00
Atoms (fractional coordinates):
Se 0.0000 0.3754 0.4696
Au 0.5000 0.8757 0.7355
Ir 0.0000 0.8743 0.0781
Ir 0.5000 0.3745 0.2167

Summary:
The value obtained for the density of states at the Fermi level is 6.0 states/eV/f.u. The calculation puts the magnetization at 0.0 μB/cell. Its formation energy (no corrections) is 0.459 eV/atom. The calculation puts the energy at -5.662 eV per atom. The calculated density comes out at 16.2 g/cm³.

Record 3
This record from Alexandria describes Tb4SiSeS2 after structural relaxation. The functional is PBE-GGA.

Lattice parameters (Å, degrees): 4.0302 6.9476 7.0426 70.52 90.00 90.00
Atoms (fractional coordinates):
Tb 0.0000 0.7573 0.7355
Tb 0.5000 0.2495 0.7424
Tb 0.5000 0.7505 0.2576
Tb 0.0000 0.2427 0.2645
Si 0.0000 0.5000 0.5000
S 0.0000 0.0000 0.0000
S 0.5000 0.0000 0.5000
Se 0.5000 0.5000 0.0000

Summary:
The value obtained for the density of states at the Fermi level is 2.9 states/eV/f.u. The calculation puts the magnetization at 0.0 μB/cell. Its formation energy (no corrections) is -1.685 eV/atom. The calculation puts the energy at -6.146 eV per atom. The calculated density comes out at 7.2 g/cm³.

Record 4
This record from Alexandria describes PmGe5Rh2 after structural relaxation. The functional is PBE-GGA.

Lattice parameters (Å, degrees): 3.8015 6.7714 6.7714 67.64 73.70 73.70
Atoms (fractional coordinates):
Ge 0.3520 0.4315 0.8644
Ge 0.3520 0.8644 0.4315
Ge 0.6480 0.1356 0.5685
Ge 0.6480 0.5685 0.1356
Ge 0.0000 0.5000 0.5000
Pm 0.0000 0.0000 0.0000
Rh 0.7773 0.7227 0.7227
Rh 0.2227 0.2773 0.2773

Summary:
The value obtained for the density of states at the Fermi level is 3.5 states/eV/f.u. The calculation puts the magnetization at 0.0 μB/cell. The value obtained for the formation energy is -0.34 eV per atom. The calculation puts the energy at -5.656 eV per atom. The calculated density comes out at 7.8 g/cm³.

Record 5
This record from Alexandria describes MnNbInRu after structural relaxation. The functional is PBE-GGA.

Lattice parameters (Å, degrees): 4.4690 4.4690 4.4690 60.00 60.00 60.00
Each line ends with the local moment (μB).
Atoms (fractional coordinates):
In 0.5000 0.5000 0.5000  -0.02
Ru 0.7500 0.7500 0.7500  0.06
Nb 0.0000 0.0000 0.0000  -0.33
Mn 0.2500 0.2500 0.2500  1.27

Summary:
The value obtained for the density of states at the Fermi level is 3.9 states/eV/f.u. The calculation puts the magnetization at 1.0 μB/cell. The value obtained for the formation energy is -0.03 eV per atom. The calculation puts the energy at -7.843 eV per atom. The calculated density comes out at 9.6 g/cm³.

Record 6
This record from Alexandria describes TeMoP after structural relaxation. The functional is PBE-GGA.

Lattice parameters (Å, degrees): 4.2932 4.2932 3.5207 90.00 90.00 120.00
Atoms (fractional coordinates):
P 0.6667 0.3333 0.0000
Te 0.3333 0.6667 0.5000
Mo 0.0000 0.0000 0.0000

Summary:
The value obtained for the density of states at the Fermi level is 3.2 states/eV/f.u. The calculation puts the magnetization at 0.0 μB/cell. Its formation energy (no corrections) is 0.263 eV/atom. The calculation puts the energy at -6.198 eV per atom. The calculated density comes out at 7.5 g/cm³.

Record 7
This record from Alexandria describes ZrSc2Cr after structural relaxation. The functional is PBE-GGA.

Lattice parameters (Å, degrees): 6.9727 5.3248 3.1872 90.09 62.65 121.15
Each line ends with the local moment (μB).
Atoms (fractional coordinates):
Zr 0.0000 0.5000 0.5000  -0.43
Sc 0.0000 0.0000 0.0000  -0.22
Sc 0.5000 0.0000 0.5000  -0.22
Cr 0.5000 0.5000 0.0000  3.12

Summary:
The value obtained for the density of states at the Fermi level is 5.0 states/eV/f.u. The calculation puts the magnetization at 2.2 μB/cell. The value obtained for the formation energy is 0.28 eV per atom. The calculation puts the energy at -7.429 eV per atom. The calculated density comes out at 4.5 g/cm³.

Record 8
This record from Alexandria describes CePm2Dy3Te6 after structural relaxation. The functional is PBE-GGA.

Lattice parameters (Å, degrees): 4.3767 8.9125 9.8992 103.85 102.77 90.00
Each line ends with the local moment (μB).
Atoms (fractional coordinates):
Dy 0.1674 0.8342 0.3349  0.01
Dy 0.5000 0.5000 0.0000  0.01
Dy 0.8326 0.1658 0.6651  0.01
Te 0.0026 0.7434 0.0052  -0.01
Te 0.6649 0.5887 0.3298  0.00
Te 0.3310 0.9219 0.6619  0.00
Te 0.6690 0.0781 0.3381  0.00
Te 0.3351 0.4113 0.6702  0.00
Te 0.9974 0.2566 0.9948  -0.01
Pm 0.8340 0.6681 0.6680  0.02
Pm 0.1660 0.3319 0.3320  0.02
Ce 0.5000 0.0000 0.0000  0.99

Summary:
The value obtained for the density of states at the Fermi level is 12.2 states/eV/f.u. The calculation puts the magnetization at 1.3 μB/cell. Its formation energy (no corrections) is -1.343 eV/atom. The calculation puts the energy at -5.351 eV per atom. The calculated density comes out at 7.7 g/cm³.